[1]
{
  "formula": "Sm3Tl2BRh3",
  "functional": "GGA-PBE",
  "state": "optimized geometry",
  "total_magnetization_mub_per_fu": 0.000,
  "e_form_ev_per_atom": -0.407,
  "dos_ef_per_ev_fu": 7.564,
  "lattice_angstrom": [[3.665, 0.000, 0.000], [0.000, 7.735, 0.000], [0.000, -3.867, 6.698]],
  "species": ["Sm", "Tl", "B", "Rh", "Sm", "Rh", "Tl", "Sm", "Rh"],
  "fractional_positions": [[0.000, 0.652, 0.652], [0.500, 0.667, 0.333], [0.000, 0.000, 0.000], [0.500, 0.000, 0.796], [0.000, 0.000, 0.348], [0.500, 0.204, 0.204], [0.500, 0.333, 0.667], [0.000, 0.348, 0.000], [0.500, 0.796, 0.000]]
}


[2]
{
  "formula": "BaCd2Cl",
  "functional": "GGA-PBE",
  "state": "optimized geometry",
  "e_above_lowest_polymorph_mev_per_atom": 401,
  "raw_formation_energy_mev_per_atom": -455,
  "total_magnetization_mub_per_fu": 0.000,
  "dos_ef_per_ev_fu": 2.672,
  "lattice_angstrom": [[0.000, 4.053, 4.053], [4.053, 0.000, 4.053], [4.053, 4.053, 0.000]],
  "species": ["Cd", "Cl", "Ba", "Cd"],
  "fractional_positions": [[0.250, 0.250, 0.250], [0.000, 0.000, 0.000], [0.500, 0.500, 0.500], [0.750, 0.750, 0.750]]
}


[3]
{
  "formula": "Ir2C",
  "functional": "GGA-PBE",
  "state": "optimized geometry",
  "e_above_lowest_polymorph_mev_per_atom": 562,
  "total_magnetization_mub_per_fu": 0.000,
  "e_form_ev_per_atom": 1.120,
  "dos_ef_per_ev_fu": 1.963,
  "lattice_angstrom": [[-1.360, 1.360, 9.812], [1.360, -1.360, 9.812], [1.360, 1.360, -9.812]],
  "species": ["C", "Ir", "C", "Ir", "Ir", "Ir"],
  "fractional_positions": [[0.000, 0.000, 0.000], [0.184, 0.684, 0.500], [0.750, 0.250, 0.500], [0.316, 0.816, 0.500], [0.566, 0.566, 0.000], [0.434, 0.434, 0.000]]
}


[4]
{
  "formula": "LaCeEuPb",
  "functional": "GGA-PBE",
  "state": "optimized geometry",
  "total_magnetization_mub_per_fu": 9.476,
  "e_form_ev_per_atom": -0.136,
  "dos_ef_per_ev_fu": 11.068,
  "lattice_angstrom": [[-1.723, -3.470, -4.163], [3.665, -1.657, -4.020], [1.816, -5.387, -0.146]],
  "species": ["Eu", "La", "Pb", "Ce"],
  "fractional_positions": [[0.500, 0.500, 0.500], [0.250, 0.250, 0.250], [0.000, 0.000, 0.000], [0.750, 0.750, 0.750]]
}